No. 1
Crystalline Nd4SiBr5 at its relaxed geometry. Source: OQMD, functional PBE-GGA.

Summary:
Total energy (eV per atom): -4.81
Total magnetic moment (Bohr magnetons per cell): 0.01
Mass density (Mg/m³): 5.0

The structure in POSCAR format:
```
Nd4SiBr5
1.0
9.3984 -2.0932 0.0000
9.3984 2.0932 0.0000
-2.0210 0.0000 8.4368
Nd Si Br
4 1 5
direct
0.0004 0.0004 0.2250 Nd
0.9996 0.9996 0.7750 Nd
0.3482 0.3482 0.9183 Nd
0.6518 0.6518 0.0817 Nd
0.5000 0.5000 0.0000 Si
0.1666 0.1666 0.3316 Br
0.1706 0.1706 0.8401 Br
0.5000 0.5000 0.5000 Br
0.8294 0.8294 0.1599 Br
0.8334 0.8334 0.6684 Br
```

***

No. 2
Crystalline Nd2Sn3Br at its relaxed geometry. Source: OQMD, functional PBE-GGA.

Summary:
Total energy (eV per atom): -4.13
Total magnetic moment (Bohr magnetons per cell): 0.01
Mass density (Mg/m³): 6.8

The structure in POSCAR format:
```
Nd2Sn3Br
1.0
3.8205 0.0000 0.0000
-1.9103 3.3087 0.0000
0.0000 0.0000 14.0778
Nd Sn Br
2 3 1
direct
0.3333 0.6667 0.3351 Nd
0.6667 0.3333 0.6649 Nd
0.0000 0.0000 0.5000 Sn
0.3333 0.6667 0.8369 Sn
0.6667 0.3333 0.1631 Sn
0.0000 0.0000 0.0000 Br
```

***

No. 3
Crystalline NdTcBr at its relaxed geometry. Source: OQMD, functional PBE-GGA.

Summary:
Total energy (eV per atom): -6.49
Total magnetic moment (Bohr magnetons per cell): 0.00
Mass density (Mg/m³): 6.0

The structure in POSCAR format:
```
NdTcBr
1.0
3.5663 -2.0602 0.0000
3.5663 2.0602 0.0000
-0.3246 0.0000 12.0549
Nd Tc Br
2 2 2
direct
0.0087 0.0087 0.1867 Nd
0.9913 0.9913 0.8133 Nd
0.3341 0.3341 0.0166 Tc
0.6659 0.6659 0.9834 Tc
0.3177 0.3177 0.6541 Br
0.6823 0.6823 0.3459 Br
```

***

No. 4
Crystalline NdTlBr3 at its relaxed geometry. Source: OQMD, functional PBE-GGA.

Summary:
Total energy (eV per atom): -3.76
Total magnetic moment (Bohr magnetons per cell): 4.00
Mass density (Mg/m³): 6.0

The structure in POSCAR format:
```
NdTlBr3
1.0
9.6747 0.0000 0.0000
0.0000 4.0997 0.0000
0.0000 0.0000 16.4672
Nd Tl Br
4 4 12
direct
0.1396 0.2500 0.0457 Nd
0.3604 0.7500 0.5457 Nd
0.6396 0.2500 0.4543 Nd
0.8604 0.7500 0.9543 Nd
0.0624 0.7500 0.3222 Tl
0.4376 0.2500 0.8222 Tl
0.5624 0.7500 0.1778 Tl
0.9376 0.2500 0.6778 Tl
0.0423 0.2500 0.8709 Br
0.1578 0.2500 0.4912 Br
0.2160 0.7500 0.7042 Br
0.2840 0.2500 0.2042 Br
0.3422 0.7500 0.9912 Br
0.4577 0.7500 0.3709 Br
0.5423 0.2500 0.6291 Br
0.6578 0.2500 0.0088 Br
0.7160 0.7500 0.7958 Br
0.7840 0.2500 0.2958 Br
0.8422 0.7500 0.5088 Br
0.9577 0.7500 0.1291 Br
```

***

No. 5
Crystalline NdUBr6 at its relaxed geometry. Source: OQMD, functional PBE-GGA.

Summary:
Total energy (eV per atom): -4.84
Total magnetic moment (Bohr magnetons per cell): 3.00
Mass density (Mg/m³): 5.5

The structure in POSCAR format:
```
NdUBr6
1.0
9.2554 0.0000 0.0000
0.0000 2.0501 6.7945
0.0000 -2.0501 6.7945
Nd U Br
1 1 6
direct
0.0000 0.0000 0.0000 Nd
0.5000 0.4795 0.4795 U
0.0000 0.6517 0.6517 Br
0.1831 0.3918 0.3918 Br
0.3165 0.0892 0.0892 Br
0.5000 0.8284 0.8284 Br
0.6835 0.0892 0.0892 Br
0.8169 0.3918 0.3918 Br
```

***

No. 6
Crystalline Ni2Br at its relaxed geometry. Source: OQMD, functional PBE-GGA.

Summary:
Total energy (eV per atom): -3.54
Total magnetic moment (Bohr magnetons per cell): 2.78
Mass density (Mg/m³): 7.3

The structure in POSCAR format:
```
Ni2Br
1.0
0.0000 3.5483 3.5483
3.5483 0.0000 3.5483
3.5483 3.5483 0.0000
Ni Br
4 2
direct
0.0000 0.0000 0.0000 Ni
0.0000 0.0000 0.5000 Ni
0.0000 0.5000 0.0000 Ni
0.5000 0.0000 0.0000 Ni
0.3750 0.3750 0.3750 Br
0.6250 0.6250 0.6250 Br
```